<one>
DFT (PBE-GGA) results for a relaxed CdB2H crystal.

Its density of states at the Fermi level is 2.3 states/eV/cell.

```
8
Lattice="-1.957 2.600 -0.871 -2.736 -1.782 0.829 -1.972 2.891 6.546" Properties=species:S:1:pos:R:3 pbc="T T T"
H -2.347 0.409 -0.021
H -3.527 0.759 3.677
B -1.569 1.475 1.414
B -2.937 0.584 1.828
B -3.923 2.029 5.101
B -4.902 3.329 4.666
Cd 0.000 0.000 0.000
Cd -3.138 2.950 2.827
```

***

<two>
DFT (PBE-GGA) results for a relaxed CdB2H crystal.

Its density of states at the Fermi level is 1.6 states/eV/cell.

```
4
Lattice="0.317 -3.730 1.230 -2.588 -1.445 2.597 -2.650 -2.684 -1.144" Properties=species:S:1:pos:R:3 pbc="T T T"
H 0.000 0.000 0.000
B -1.230 -1.965 0.671
B -3.691 -5.894 2.013
Cd -2.460 -3.930 1.342
```

***

Which structure loses on stability? <two> does.

***

<one>
DFT (PBE-GGA) results for a relaxed RbCdBH2 crystal.

Its density of states at the Fermi level is 2.7 states/eV/cell.

```
5
Lattice="-2.098 2.234 2.638 0.058 -6.312 5.391 3.456 1.381 1.579" Properties=species:S:1:pos:R:3 pbc="T T T"
H 1.728 0.690 0.790
H -1.049 1.117 1.319
B 0.708 -1.349 4.804
Rb 0.029 -3.156 2.696
Cd 0.000 0.000 0.000
```

***

<two>
DFT (PBE-GGA) results for a relaxed RbCdBH2 crystal.

Its density of states at the Fermi level is 0.3 states/eV/cell.

```
5
Lattice="-2.522 2.674 -2.765 -1.102 -3.445 -2.326 -3.662 -0.655 2.705" Properties=species:S:1:pos:R:3 pbc="T T T"
H -1.831 -0.327 1.353
H -1.261 1.337 -1.383
B 0.000 0.000 0.000
Rb -3.643 -0.713 -1.193
Cd -0.551 -1.723 -1.163
```

***

Which structure loses on stability? <one> does.

***

<one>
DFT (PBE-GGA) results for a relaxed HfCd3B crystal.

Its density of states at the Fermi level is 2.4 states/eV/cell.

```
5
Lattice="4.607 0.000 0.000 0.000 4.607 0.000 0.000 0.000 4.607" Properties=species:S:1:pos:R:3 pbc="T T T"
B 0.000 0.000 0.000
Hf 2.303 2.303 2.303
Cd 0.000 2.303 0.000
Cd 0.000 0.000 2.303
Cd 2.303 0.000 0.000
```

***

<two>
DFT (PBE-GGA) results for a relaxed HfCd3B crystal.

Its density of states at the Fermi level is 4.7 states/eV/cell.

```
5
Lattice="5.608 0.000 0.000 0.000 5.608 0.000 0.000 0.000 5.608" Properties=species:S:1:pos:R:3 pbc="T T T"
B 2.804 2.804 2.804
Hf 0.000 0.000 0.000
Cd 0.000 2.804 0.000
Cd 0.000 0.000 2.804
Cd 2.804 0.000 0.000
```

***

Which structure loses on stability? <two> does.

***

<one>
DFT (PBE-GGA) results for a relaxed HfCdB3 crystal.

Its density of states at the Fermi level is 2.3 states/eV/cell.

```
5
Lattice="-2.111 1.785 -3.194 1.193 -3.150 -2.549 -3.459 -2.176 1.070" Properties=species:S:1:pos:R:3 pbc="T T T"
B 0.597 -1.575 -1.275
B -1.730 -1.088 0.535
B -1.056 0.893 -1.597
Hf -2.188 -1.771 -2.337
Cd 0.000 0.000 0.000
```

***

<two>
DFT (PBE-GGA) results for a relaxed HfCdB3 crystal.

Its density of states at the Fermi level is 2.1 states/eV/cell.

```
5
Lattice="-0.258 -4.299 1.088 4.318 0.005 1.042 -1.010 1.118 4.179" Properties=species:S:1:pos:R:3 pbc="T T T"
B 2.159 0.002 0.521
B -0.505 0.559 2.089
B -0.129 -2.149 0.544
Hf 0.000 0.000 0.000
Cd 1.525 -1.588 3.154
```

***

Which structure loses on stability? <one> does.

***

<one>
DFT (PBE-GGA) results for a relaxed HfCd2NiB crystal.

Its density of states at the Fermi level is 6.1 states/eV/cell.

```
5
Lattice="5.643 0.000 0.000 0.000 4.535 0.000 0.000 0.000 5.643" Properties=species:S:1:pos:R:3 pbc="T T T"
Ni 0.000 2.268 0.000
B 2.822 2.268 2.822
Hf 0.000 0.000 0.000
Cd 0.000 0.000 2.822
Cd 2.822 0.000 0.000
```

***

<two>
DFT (PBE-GGA) results for a relaxed HfCd2NiB crystal.

Its density of states at the Fermi level is 2.5 states/eV/cell.

```
5
Lattice="4.772 0.000 0.000 0.000 4.684 0.000 0.000 0.000 4.772" Properties=species:S:1:pos:R:3 pbc="T T T"
Ni 0.000 0.000 0.000
B 2.386 2.342 2.386
Hf 0.000 2.342 0.000
Cd 0.000 0.000 2.386
Cd 2.386 0.000 0.000
```

***

Which structure loses on stability? <one> does.

***

<one>
DFT (PBE-GGA) results for a relaxed HfCdTcB2 crystal.

Its density of states at the Fermi level is 4.0 states/eV/cell.

```
5
Lattice="4.093 0.000 0.000 0.000 5.456 0.000 0.000 0.000 4.093" Properties=species:S:1:pos:R:3 pbc="T T T"
B 0.000 0.000 2.046
B 2.046 0.000 0.000
Hf 0.000 2.728 0.000
Tc 2.046 2.728 2.046
Cd 0.000 0.000 0.000
```

***

<two>
DFT (PBE-GGA) results for a relaxed HfCdTcB2 crystal.

Its density of states at the Fermi level is 5.3 states/eV/cell.

```
5
Lattice="4.109 0.000 0.000 0.000 5.156 0.000 0.000 0.000 4.109" Properties=species:S:1:pos:R:3 pbc="T T T"
B 0.000 0.000 2.055
B 2.055 0.000 0.000
Hf 2.055 2.578 2.055
Tc 0.000 2.578 0.000
Cd 0.000 0.000 0.000
```

***

Which structure loses on stability? <one> does.

***

<one>
DFT (PBE-GGA) results for a relaxed CdHg3B crystal.

Its density of states at the Fermi level is 1.7 states/eV/cell.

```
5
Lattice="-2.499 -3.652 -1.903 4.041 -1.745 -1.957 0.795 -2.612 3.969" Properties=species:S:1:pos:R:3 pbc="T T T"
B 0.000 0.000 0.000
Hg 2.021 -0.873 -0.979
Hg 0.397 -1.306 1.985
Hg -1.249 -1.826 -0.952
Cd 1.168 -4.005 0.054
```

***

<two>
DFT (PBE-GGA) results for a relaxed CdHg3B crystal.

Its density of states at the Fermi level is 4.9 states/eV/cell.

```
5
Lattice="5.578 0.000 0.000 0.000 5.578 0.000 0.000 0.000 5.578" Properties=species:S:1:pos:R:3 pbc="T T T"
B 2.789 2.789 2.789
Hg 0.000 2.789 0.000
Hg 0.000 0.000 2.789
Hg 2.789 0.000 0.000
Cd 0.000 0.000 0.000
```

***

Which structure loses on stability? <two> does.

***

<one>
DFT (PBE-GGA) results for a relaxed Cd3HgB crystal.

Its density of states at the Fermi level is 2.1 states/eV/cell.

```
5
Lattice="-1.300 4.506 0.470 -3.151 -1.251 3.275 3.255 0.589 3.358" Properties=species:S:1:pos:R:3 pbc="T T T"
B 0.000 0.000 0.000
Hg -0.598 1.922 3.551
Cd -1.576 -0.626 1.637
Cd 1.628 0.295 1.679
Cd -0.650 2.253 0.235
```

***

<two>
DFT (PBE-GGA) results for a relaxed Cd3HgB crystal.

Its density of states at the Fermi level is 3.9 states/eV/cell.

```
5
Lattice="-3.716 3.856 -0.088 -3.777 -3.662 -1.007 -0.785 -0.637 5.260" Properties=species:S:1:pos:R:3 pbc="T T T"
B -4.139 -0.221 2.083
Hg 0.000 0.000 0.000
Cd -1.888 -1.831 -0.504
Cd -0.392 -0.319 2.630
Cd -1.858 1.928 -0.044
```

***

Which structure loses on stability? <two> does.